Entry 1:
Computed, not measured: an optimized crystal structure of Np2ScSe5 at the GGA-PBE level of DFT. Values from VASP.

```
&SYSTEM
  ibrav = 0, nat = 8, ntyp = 3
/
ATOMIC_SPECIES
Np 237.00 Np.upf
Sc 44.96 Sc.upf
Se 78.96 Se.upf
CELL_PARAMETERS angstrom
4.685 0.000 0.000
0.000 6.740 0.000
0.000 0.000 6.740
ATOMIC_POSITIONS crystal
Np 0.500 0.500 0.000
Np 0.500 0.000 0.500
Sc 0.000 0.000 0.000
Se 0.000 0.724 0.724
Se 0.000 0.276 0.724
Se 0.000 0.724 0.276
Se 0.500 0.000 0.000
Se 0.000 0.276 0.276
```

Computed properties:
Raw formation energy in eV/f.u.: -5.8
Volume in Å³ per atom: 26.60



Entry 2:
Computed, not measured: an optimized crystal structure of TlCo2Au at the GGA-PBE level of DFT. Values from VASP.

```
&SYSTEM
  ibrav = 0, nat = 8, ntyp = 3
/
ATOMIC_SPECIES
Co 58.93 Co.upf
Tl 204.38 Tl.upf
Au 196.97 Au.upf
CELL_PARAMETERS angstrom
-1.436 -1.623 3.384
2.548 -3.081 -0.397
6.921 2.278 6.414
ATOMIC_POSITIONS crystal
Co 0.524 0.125 0.250
Co 0.226 0.625 0.250
Co 0.375 0.476 0.750
Co 0.875 0.774 0.750
Tl 0.000 0.000 0.000
Tl 0.750 0.250 0.500
Au 0.500 0.500 0.000
Au 0.250 0.750 0.500
```

Computed properties:
Calculated formation energy in meV/atom: 650
Volume in Å³ per atom: 18.73



Entry 3:
Computed, not measured: an optimized crystal structure of CoGeSe at the GGA-PBE level of DFT. Values from VASP.

```
&SYSTEM
  ibrav = 0, nat = 12, ntyp = 3
/
ATOMIC_SPECIES
Se 78.96 Se.upf
Co 58.93 Co.upf
Ge 72.64 Ge.upf
CELL_PARAMETERS angstrom
-2.971 -6.301 -1.514
5.355 -2.039 -2.022
-2.039 -0.456 5.895
ATOMIC_POSITIONS crystal
Se 0.158 0.517 0.259
Se 0.658 0.983 0.741
Se 0.842 0.483 0.741
Se 0.342 0.017 0.259
Co 0.412 0.205 0.032
Co 0.912 0.295 0.968
Co 0.588 0.795 0.968
Co 0.088 0.705 0.032
Ge 0.138 0.928 0.806
Ge 0.638 0.572 0.194
Ge 0.862 0.072 0.194
Ge 0.362 0.428 0.806
```

Computed properties:
Raw formation energy in eV/f.u.: -0.3
Volume in Å³ per atom: 18.45



Entry 4:
Computed, not measured: an optimized crystal structure of BaTl2Cd at the GGA-PBE level of DFT. Values from VASP.

```
&SYSTEM
  ibrav = 0, nat = 4, ntyp = 3
/
ATOMIC_SPECIES
Tl 204.38 Tl.upf
Ba 137.33 Ba.upf
Cd 112.41 Cd.upf
CELL_PARAMETERS angstrom
-3.360 -0.366 -3.778
-2.945 -0.974 2.714
-2.439 6.007 1.587
ATOMIC_POSITIONS crystal
Tl 0.000 0.929 0.957
Tl 0.000 0.571 0.543
Ba 0.500 0.250 0.250
Cd 0.500 0.750 0.750
```

Computed properties:
Calculated formation energy in meV/atom: -208
Volume in Å³ per atom: 34.12



Q: Which calculated total energy values were calculated for the entries above? A: -6.934; -4.314; -5.153; -2.100, in eV per atom.